(1)
Sn3Hg12As5 | PBE | optimized geometry

Structure (CIF):
```
data_Sn3Hg12As5
_cell_length_a 16.5506
_cell_length_b 16.5506
_cell_length_c 16.5506
_cell_angle_alpha 90.00
_cell_angle_beta 90.00
_cell_angle_gamma 90.00
_space_group_name_H-M_alt 'I a -3 d'
_space_group_IT_number 230
_space_group_name_Hall '-I 4bd 2c 3'
loop_
_atom_site_label
_atom_site_type_symbol
_atom_site_fract_x
_atom_site_fract_y
_atom_site_fract_z
Sn1 Sn 0.0000 0.2500 0.1250
Hg1 Hg 0.0280 0.0766 0.6488
As1 As 0.0000 0.0000 0.0000
As2 As 0.0000 0.2500 0.3750
```

**ρ**: 9194 kg/m³
**ΔH_f (0 K)**: 157.3 meV/atom
**E**: -1.787 eV/atom

=====

(2)
Cs2TlIn10 | PBE | optimized geometry

Structure (CIF):
```
data_Cs2TlIn10
_cell_length_a 9.0846
_cell_length_b 17.8888
_cell_length_c 6.9784
_cell_angle_alpha 90.00
_cell_angle_beta 90.00
_cell_angle_gamma 90.00
_space_group_name_H-M_alt 'P b a m'
_space_group_IT_number 55
loop_
_space_group_symop_operation_xyz
'x,y,z'
'-x,-y,-z'
'-x,-y,z'
'x,y,-z'
'x+1/2,-y+1/2,-z'
'-x+1/2,y+1/2,z'
'-x+1/2,y+1/2,-z'
'x+1/2,-y+1/2,z'
loop_
_atom_site_label
_atom_site_type_symbol
_atom_site_fract_x
_atom_site_fract_y
_atom_site_fract_z
Cs1 Cs 0.1682 0.1306 0.0000
Tl1 Tl 0.0000 0.5000 0.5000
In1 In 0.0362 0.6724 0.5000
In2 In 0.1436 0.9695 0.5000
In3 In 0.1591 0.4014 0.2014
In4 In 0.2088 0.8009 0.5000
```

**ρ**: 4739 kg/m³
**ΔH_f (0 K)**: 68.0 meV/atom
**E**: -2.352 eV/atom

=====

(3)
Ho2Ir3Ru | PBE | optimized geometry

Structure (CIF):
```
data_Ho2Ir3Ru
_cell_length_a 5.3492
_cell_length_b 5.3492
_cell_length_c 8.6768
_cell_angle_alpha 90.00
_cell_angle_beta 90.00
_cell_angle_gamma 120.00
_space_group_name_H-M_alt 'P 63/m m c'
_space_group_IT_number 194
_space_group_name_Hall '-P 6c 2c'
loop_
_atom_site_label
_atom_site_type_symbol
_atom_site_fract_x
_atom_site_fract_y
_atom_site_fract_z
Ho1 Ho 0.3333 0.6667 0.0657
Ir1 Ir 0.1692 0.3384 0.7500
Ru1 Ru 0.0000 0.0000 0.0000
```

**ρ**: 15563 kg/m³
**ΔH_f (0 K)**: -727.4 meV/atom
**E**: -8.230 eV/atom

=====

(4)
TiCu2AuF | PBE | optimized geometry

Structure (CIF):
```
data_TiCu2AuF
_cell_length_a 4.3130
_cell_length_b 4.3130
_cell_length_c 3.9269
_cell_angle_alpha 90.00
_cell_angle_beta 90.00
_cell_angle_gamma 90.00
_space_group_name_H-M_alt 'P 4/m m m'
_space_group_IT_number 123
_space_group_name_Hall '-P 4 2'
loop_
_atom_site_label
_atom_site_type_symbol
_atom_site_fract_x
_atom_site_fract_y
_atom_site_fract_z
Ti1 Ti 0.0000 0.0000 0.0000
Cu1 Cu 0.0000 0.5000 0.5000
Au1 Au 0.5000 0.5000 0.0000
F1 F 0.0000 0.0000 0.5000
```

**ρ**: 8886 kg/m³
**E**: -4.518 eV/atom

=====

(5)
Nd4CSI2 | PBE | optimized geometry

Structure (CIF):
```
data_Nd4CSI2
_cell_length_a 7.0974
_cell_length_b 4.0209
_cell_length_c 8.0067
_cell_angle_alpha 90.00
_cell_angle_beta 106.67
_cell_angle_gamma 90.00
_space_group_name_H-M_alt 'P 1 2/m 1'
_space_group_IT_number 10
loop_
_space_group_symop_operation_xyz
'x,y,z'
'-x,-y,-z'
'-x,y,-z'
'x,-y,z'
loop_
_atom_site_label
_atom_site_type_symbol
_atom_site_fract_x
_atom_site_fract_y
_atom_site_fract_z
Nd1 Nd 0.2029 0.0000 0.1771
Nd2 Nd 0.2438 0.5000 0.8208
C1 C 0.0000 0.5000 0.0000
S1 S 0.5000 0.0000 0.0000
I1 I 0.0000 0.0000 0.5000
I2 I 0.5000 0.5000 0.5000
```

**ρ**: 6637 kg/m³
**E**: -5.546 eV/atom

=====

(6)
Sm5TlSe6 | PBE | optimized geometry

Structure (CIF):
```
data_Sm5TlSe6
_cell_length_a 7.3238
_cell_length_b 12.6550
_cell_length_c 7.3825
_cell_angle_alpha 90.00
_cell_angle_beta 109.38
_cell_angle_gamma 90.00
_space_group_name_H-M_alt 'C 1 2/m 1'
_space_group_IT_number 12
loop_
_space_group_symop_operation_xyz
'x,y,z'
'-x,-y,-z'
'-x,y,-z'
'x,-y,z'
'x+1/2,y+1/2,z'
'-x+1/2,-y+1/2,-z'
'-x+1/2,y+1/2,-z'
'x+1/2,-y+1/2,z'
loop_
_atom_site_label
_atom_site_type_symbol
_atom_site_fract_x
_atom_site_fract_y
_atom_site_fract_z
Sm1 Sm 0.0000 0.0000 0.0000
Sm2 Sm 0.0000 0.1662 0.5000
Sm3 Sm 0.0000 0.3427 0.0000
Tl1 Tl 0.0000 0.5000 0.5000
Se1 Se 0.2384 0.0000 0.7489
Se2 Se 0.2401 0.1732 0.2394
```

**ρ**: 7358 kg/m³
**E**: -5.529 eV/atom